Material: La4MnAl3O12
Method: DFT, GGA+U
State: relaxed

Cell: 7.6509 7.6509 7.6509 Å, 90.00 90.00 90.00°
With the nearest neighbours (Å) after each atom.
Space group Im-3m (No. 229)
One atom of each set of equivalent atoms:
La: 0.2500 0.2500 0.2500 (multiplicity 8)  12 O 2.70-2.71
Mn: 0.0000 0.0000 0.0000 (multiplicity 2)  6 O 1.94
Al: 0.0000 0.0000 0.5000 (multiplicity 6)  6 O 1.88-1.91
O: 0.0000 0.0000 0.2538 (multiplicity 12)  1 Al 1.88, 1 Mn 1.94
O: 0.0000 0.2500 0.5000 (multiplicity 12)  2 Al 1.91

Output
calculated total energy	-7.899	eV/atom
DOS(E_F)	8.18	states/eV/f.u.